[1]
TaAgSe2: relaxed, PBE.

Results
Formation energy from raw total energies: 0.10 eV per atom
Size of the total moment: 1.7 Bohr magnetons per cell
Calculated volume: 18.6 Å³/atom

Structure (POSCAR):
```
TaAgSe2
1.0
0.000 3.338 3.338
3.338 0.000 3.338
3.338 3.338 0.000
Ta Ag Se
1 1 2
direct
0.000 0.000 0.000
0.500 0.500 0.500
0.250 0.250 0.250
0.750 0.750 0.750
```



[2]
LiBiSb2: relaxed, PBE.

Results
Formation energy from raw total energies: -0.06 eV per atom
Size of the total moment: 0.0 Bohr magnetons per cell
Calculated volume: 26.4 Å³/atom

Structure (POSCAR):
```
LiBiSb2
1.0
4.023 0.000 0.000
0.000 4.023 0.000
0.000 0.000 6.537
Li Bi Sb
1 1 2
direct
0.000 0.000 0.000
0.000 0.000 0.500
0.500 0.500 0.219
0.500 0.500 0.781
```



[3]
CuC4: relaxed, PBE.

Results
Distance to the lowest polymorph of the same formula: 257.5 kJ/mol of atoms
Size of the total moment: 0.0 Bohr magnetons per cell
Energy of formation from the pure elements: 3951 meV/atom
Calculated volume: 10.9 Å³/atom

Structure (POSCAR):
```
CuC4
1.0
3.787 0.000 0.000
0.000 3.787 0.000
0.000 0.000 3.787
Cu C
1 4
direct
0.000 0.000 0.000
0.000 0.000 0.500
0.000 0.500 0.000
0.500 0.000 0.000
0.500 0.500 0.500
```